# 1
The following is a DFT calculation (PBE-GGA) of a relaxed K4TlTe crystal.

Unit cell a=7.2940 b=7.2940 c=7.2940 alpha=60.00 beta=60.00 gamma=60.00
Closest atoms and distances in Å follow each position.
Element x y z (fractional)
K  0.1235  0.1235  0.1235  6 K 3.60-3.69
K  0.1235  0.1235  0.6294  6 K 3.60-3.69
K  0.1235  0.6294  0.1235  6 K 3.60-3.69
K  0.6294  0.1235  0.1235  6 K 3.60-3.69
Tl  0.5000  0.5000  0.5000  12 K 4.28, 4 Te 4.47
Te  0.7500  0.7500  0.7500  12 K 4.27, 4 Tl 4.47

## Properties
- VASP energy (eV per cell) = -9.9
- Fermi-level density of states (states/eV/f.u.) = 4.766
- formation energy from raw total energies (meV per atom) = -4.9
- space group = F-43m (216)

# 2
The following is a DFT calculation (PBE-GGA) of a relaxed KBPt3 crystal.

Unit cell a=8.5744 b=8.5744 c=6.2361 alpha=104.78 beta=104.78 gamma=28.22
Closest atoms and distances in Å follow each position.
Element x y z (fractional)
K  0.0864  0.0864  0.2042  5 Pt 3.26-3.38, 1 K 3.30
K  0.9136  0.9136  0.7958  5 Pt 3.26-3.38, 1 K 3.30
B  0.3204  0.3204  0.1480  3 Pt 1.98-2.07
B  0.6796  0.6796  0.8520  3 Pt 1.98-2.07
Pt  0.2301  0.2301  0.8473  3 B 2.07-2.26
Pt  0.2860  0.2860  0.4418  1 B 2.06
Pt  0.4410  0.4410  0.3038  1 B 1.98
Pt  0.5590  0.5590  0.6962  1 B 1.98
Pt  0.7140  0.7140  0.5582  1 B 2.06
Pt  0.7699  0.7699  0.1527  3 B 2.07-2.26

## Properties
- VASP energy (eV per cell) = -52.7
- Fermi-level density of states (states/eV/f.u.) = 0.324
- space group = C2/m (12)
- energy of formation from the pure elements (eV per atom) = -0.089

Copy entry 2 word for word.
The following is a DFT calculation (PBE-GGA) of a relaxed KBPt3 crystal.

Unit cell a=8.5744 b=8.5744 c=6.2361 alpha=104.78 beta=104.78 gamma=28.22
Closest atoms and distances in Å follow each position.
Element x y z (fractional)
K  0.0864  0.0864  0.2042  5 Pt 3.26-3.38, 1 K 3.30
K  0.9136  0.9136  0.7958  5 Pt 3.26-3.38, 1 K 3.30
B  0.3204  0.3204  0.1480  3 Pt 1.98-2.07
B  0.6796  0.6796  0.8520  3 Pt 1.98-2.07
Pt  0.2301  0.2301  0.8473  3 B 2.07-2.26
Pt  0.2860  0.2860  0.4418  1 B 2.06
Pt  0.4410  0.4410  0.3038  1 B 1.98
Pt  0.5590  0.5590  0.6962  1 B 1.98
Pt  0.7140  0.7140  0.5582  1 B 2.06
Pt  0.7699  0.7699  0.1527  3 B 2.07-2.26

## Properties
- VASP energy (eV per cell) = -52.7
- Fermi-level density of states (states/eV/f.u.) = 0.324
- space group = C2/m (12)
- energy of formation from the pure elements (eV per atom) = -0.089